K3BiH after structural relaxation, computed with PBE.

- Calculated density: 3.22 g/cm³
- Total DFT energy (no corrections): -23.15 eV for the cell shown
- M_tot: 0.000 μB per atom
- Distance to the lowest polymorph of the same formula: 0.033 eV per atom

a = 7.666 Å, b = 7.666 Å, c = 7.971 Å
α = 90.00°, β = 61.27°, γ = 60.00°
Sites, in units of the cell vectors:
Bi  0.874  0.518  0.499
K  0.531  0.189  0.991
K  0.895  0.007  0.488
H  0.389  0.260  0.726
K  0.053  0.668  0.991
Bi  0.553  0.678  0.980
H  0.038  0.936  0.753
K  0.374  0.007  0.488
K  0.374  0.529  0.488
K  0.053  0.189  0.991